Below is TiPtCl3 after structural relaxation, with properties calculated at the PBE level.

Properties
magnetization = 2.51 Bohr magnetons per cell
energy above the lowest structure with this stoichiometry = 284 meV/atom
energy relative to the elements, uncorrected = 0.09 eV/atom
crystal system = cubic
total DFT energy (no corrections) = -19.0 eV for the cell shown

```
TiPtCl3
1.0
4.920 0.000 0.000
0.000 4.920 0.000
0.000 0.000 4.920
Ti Pt Cl
1 1 3
Direct
0.000 0.000 0.000
0.500 0.500 0.500
0.000 0.500 0.500
0.500 0.000 0.500
0.500 0.500 0.000
```